# 1
The following is a PBE-GGA calculation of crystalline ReTe2RuAu at its relaxed geometry, from Alexandria via LeMat-Bulk.

a b c (Å): 5.147 5.147 4.805
angles (deg): 90.00 90.00 90.00
Sites, in units of the cell vectors:
Re: 0.000 0.000 0.000
Te: 0.000 0.500 0.500
Te: 0.500 0.000 0.500
Ru: 0.000 0.000 0.500
Au: 0.500 0.500 0.000

Summary:
The calculation puts the uncorrected formation energy at 1343 meV/atom. The calculation puts the total energy at -24.57 eV per cell. Its calculated density is 9.65 Mg/m³. The symmetry is P4/mmm.



# 2
The following is a PBE-GGA calculation of crystalline Hg5Se3 at its relaxed geometry, from Alexandria via LeMat-Bulk.

a b c (Å): 5.637 5.637 7.014
angles (deg): 90.00 90.00 92.43
Sites, in units of the cell vectors:
Hg: 0.000 0.000 0.000
Hg: 0.000 0.500 0.000
Hg: 0.264 0.264 0.500
Hg: 0.500 0.000 0.000
Hg: 0.736 0.736 0.500
Se: 0.237 0.763 0.500
Se: 0.500 0.500 0.000
Se: 0.763 0.237 0.500

Summary:
The calculation puts the uncorrected formation energy at 65 meV/atom. The calculation puts the total energy at -11.45 eV per cell. Its calculated density is 9.25 Mg/m³. The symmetry is Cmmm.



# 3
The following is a PBE-GGA calculation of crystalline LaAlAu4 at its relaxed geometry, from Alexandria via LeMat-Bulk.

a b c (Å): 8.529 8.529 6.882
angles (deg): 90.00 90.00 149.99
Sites, in units of the cell vectors:
La: 0.115 0.885 0.750
La: 0.885 0.115 0.250
Al: 0.231 0.769 0.250
Al: 0.769 0.231 0.750
Au: 0.072 0.928 0.250
Au: 0.323 0.677 0.547
Au: 0.323 0.677 0.953
Au: 0.500 0.500 0.000
Au: 0.500 0.500 0.500
Au: 0.677 0.323 0.047
Au: 0.677 0.323 0.453
Au: 0.928 0.072 0.750

Summary:
The energy of formation from the pure elements comes out at -558.7 meV per atom. The calculation puts the total energy at -50.26 eV per cell. Its calculated density is 12.65 Mg/m³. The symmetry is Cmcm.